# AcPr2Cd2Hg2 PBE optimized geometry
data_AcPr2Cd2Hg2
_chemical_formula_sum 'Ac3 Pr6 Cd6 Hg6'
_space_group_name_H-M_alt 'R -3 m'
_space_group_IT_number 166
_space_group_name_Hall '-R 3 2"'
_cell_length_a 5.0527
_cell_length_b 5.0527
_cell_length_c 28.6971
_cell_angle_alpha 90.00
_cell_angle_beta 90.00
_cell_angle_gamma 120.00
loop_
_atom_site_label
_atom_site_type_symbol
_atom_site_fract_x
_atom_site_fract_y
_atom_site_fract_z
_atom_site_occupancy
Ac1 Ac 0.0000 0.0000 0.0000 1
Pr1 Pr 0.0000 0.0000 0.1270 1
Cd1 Cd 0.0000 0.0000 0.2548 1
Hg1 Hg 0.0000 0.0000 0.4056 1
# - Uncorrected energy: -2.60 eV/atom
# - Formation energy: -301 meV/atom